PrInO3, relaxed, DFT PBE; E_tot = -138.5 eV/cell; total moment = 0.00 μB/f.u.; uncorrected formation energy = -2.444 eV per atom; crystal system = orthorhombic
1.0
5.716 0.000 0.000
0.000 6.003 0.000
0.000 0.000 8.315
Pr In O
4 4 12
Direct
0.020 0.939 0.250
0.480 0.439 0.250
0.980 0.061 0.750
0.520 0.561 0.750
0.000 0.500 0.000
0.500 0.000 0.500
0.000 0.500 0.500
0.500 0.000 0.000
0.624 0.052 0.250
0.876 0.552 0.250
0.376 0.948 0.750
0.124 0.448 0.750
0.306 0.696 0.065
0.194 0.196 0.435
0.694 0.304 0.565
0.806 0.804 0.935
0.694 0.304 0.935
0.806 0.804 0.565
0.306 0.696 0.435
0.194 0.196 0.065


PrInO3, relaxed, DFT PBE; E_tot = -137.2 eV/cell; total moment = 0.00 μB/f.u.; uncorrected formation energy = -2.381 eV per atom; crystal system = monoclinic
1.0
-4.891 -3.273 -0.771
3.574 -4.757 -2.487
0.460 -2.398 7.263
Pr In O
4 4 12
Direct
0.719 0.637 0.165
0.281 0.363 0.835
0.219 0.363 0.335
0.781 0.637 0.665
0.261 0.906 0.570
0.739 0.094 0.430
0.761 0.094 0.930
0.239 0.906 0.070
0.065 0.945 0.329
0.935 0.055 0.671
0.565 0.055 0.171
0.435 0.945 0.829
0.577 0.786 0.450
0.423 0.214 0.550
0.077 0.214 0.050
0.923 0.786 0.950
0.166 0.588 0.618
0.834 0.412 0.382
0.666 0.412 0.882
0.334 0.588 0.118


PrIn2O4, relaxed, DFT PBE; E_tot = -87.2 eV/cell; total moment = 0.00 μB/f.u.; uncorrected formation energy = -1.932 eV per atom; crystal system = tetragonal
1.0
-1.788 -6.522 1.119
4.676 1.491 -4.786
4.435 -4.300 2.971
Pr In O
2 4 8
Direct
0.500 0.750 0.750
0.000 0.000 0.000
0.750 0.375 0.875
0.250 0.375 0.375
0.250 0.875 0.375
0.750 0.375 0.375
0.275 0.137 0.588
0.225 0.613 0.162
0.725 0.137 0.138
0.725 0.588 0.137
0.275 0.138 0.137
0.775 0.613 0.612
0.775 0.162 0.613
0.225 0.612 0.613


Pr12In3O5, relaxed, DFT PBE; E_tot = -478.6 eV/cell; total moment = 0.02 μB/f.u.; uncorrected formation energy = -1.465 eV per atom; crystal system = cubic
1.0
14.161 0.000 0.000
-4.720 13.351 0.000
-4.720 -6.675 11.562
In O Pr
12 20 48
Direct
0.750 0.375 0.125
0.875 0.750 0.125
0.375 0.750 0.625
0.250 0.125 0.375
0.875 0.125 0.250
0.375 0.625 0.250
0.625 0.375 0.750
0.125 0.875 0.750
0.750 0.875 0.625
0.625 0.250 0.375
0.125 0.250 0.875
0.250 0.625 0.875
0.125 0.375 0.250
0.000 0.500 0.000
0.000 0.000 0.000
0.375 0.250 0.125
0.500 0.000 0.500
0.500 0.500 0.000
0.125 0.750 0.375
0.750 0.125 0.875
0.750 0.625 0.375
0.375 0.125 0.750
0.625 0.875 0.250
0.500 0.500 0.500
0.500 0.000 0.000
0.000 0.000 0.500
0.250 0.375 0.625
0.250 0.875 0.125
0.000 0.500 0.500
0.875 0.250 0.625
0.625 0.750 0.875
0.875 0.625 0.750
0.697 0.107 0.010
0.313 0.510 0.403
0.990 0.393 0.303
0.510 0.197 0.107
0.590 0.697 0.687
0.990 0.597 0.187
0.313 0.803 0.410
0.097 0.910 0.107
0.597 0.990 0.687
0.697 0.590 0.187
0.803 0.490 0.393
0.813 0.903 0.010
0.107 0.697 0.510
0.393 0.403 0.090
0.090 0.903 0.393
0.410 0.107 0.597
0.090 0.187 0.197
0.490 0.687 0.097
0.813 0.910 0.303
0.107 0.410 0.097
0.393 0.990 0.803
0.597 0.607 0.410
0.903 0.813 0.510
0.803 0.313 0.910
0.403 0.393 0.590
0.097 0.187 0.490
0.197 0.687 0.090
0.187 0.090 0.697
0.607 0.010 0.197
0.893 0.590 0.903
0.510 0.313 0.903
0.590 0.893 0.403
0.910 0.813 0.803
0.910 0.097 0.607
0.893 0.303 0.490
0.187 0.097 0.990
0.607 0.597 0.910
0.403 0.010 0.313
0.303 0.410 0.813
0.197 0.510 0.607
0.903 0.090 0.893
0.687 0.197 0.590
0.490 0.803 0.893
0.010 0.403 0.813
0.410 0.303 0.313
0.010 0.607 0.697
0.687 0.490 0.597
0.303 0.893 0.990